Density functional theory data (GGA+U) for LiWO4 after structural relaxation.

Lattice parameters (Å, degrees): 4.9282 4.9934 5.6924 90.00 90.00 90.00
Last column: nearest neighbours and their distance in Å.
Sites, in units of the cell vectors:
Li 0.5000 0.5000 0.6885  6 O 2.10-2.28
W 0.0000 0.0000 0.8270  4 O 1.86-1.91
O 0.6707 0.6615 0.3810  1 W 1.91, 2 Li 2.10-2.12
O 0.7549 0.1236 0.1113  1 W 1.86
O 0.3293 0.3385 0.3810  1 W 1.91, 2 Li 2.10-2.12
O 0.1707 0.3385 0.8810  1 W 1.91, 2 Li 2.10-2.12
Li 0.0000 0.5000 0.1885  6 O 2.10-2.28
O 0.7451 0.1236 0.6113  1 W 1.86
W 0.5000 0.0000 0.3270  4 O 1.86-1.91
O 0.2451 0.8764 0.1113  1 W 1.86
O 0.8293 0.6615 0.8810  1 W 1.91, 2 Li 2.10-2.12
O 0.2549 0.8764 0.6113  1 W 1.86

Values from the calculation:
**Final energy**: -77.83 eV/cell
**Distance to the lowest polymorph of the same formula**: 15 meV/atom